Crystalline CsTlSnPSe at its relaxed geometry, computed with PBE.

a b c (Å): 7.1788 4.1508 7.8720
angles (deg): 90.00 113.96 90.00
Space group Pm (No. 6)
Asymmetric unit:
Cs 0.0000 0.0000 0.0000 x1
Tl 0.9123 0.5000 0.3994 x1
Sn 0.4527 0.0000 0.5115 x1
P 0.6808 0.5000 0.6234 x1
Se 0.1815 0.0000 0.6539 x1



Crystalline TiZnI2N at its relaxed geometry, computed with PBE.

a b c (Å): 5.6588 5.6588 3.6628
angles (deg): 90.00 90.00 90.00
Space group P4/mmm (No. 123)
Asymmetric unit:
Ti 0.0000 0.0000 0.0000 x1
Zn 0.5000 0.5000 0.5000 x1
I 0.0000 0.5000 0.5000 x2
N 0.5000 0.5000 0.0000 x1



For reference, total magnetic moment by record: 0.00, 0.44 μB per cell.
For reference, formation energy from raw total energies by record: -0.246, 0.832 eV per atom.